Below is Ca3BiAu2 after structural relaxation, with properties calculated at the PBE level.

Summary:
Crystal system: trigonal
Uncorrected energy in eV per formula unit: -21.26

The structure in extended XYZ format:
```
12
Lattice="-0.954 4.025 -3.221 -3.868 -3.292 1.300 -3.031 7.731 10.560" Properties=species:S:1:pos:R:3 pbc="T T T"
Bi -2.923 4.132 1.762
Ca -5.693 6.281 9.537
Au -4.506 8.168 7.276
Bi -4.930 4.334 6.876
Au 0.000 0.000 0.000
Ca -4.168 2.389 4.221
Ca -2.160 2.184 -0.898
Ca -2.308 5.888 8.042
Ca -3.685 6.076 4.418
Ca -0.723 1.844 2.518
Au -1.515 3.866 5.280
Au -3.348 0.297 1.363
```

Below is Ca4Bi2Au after structural relaxation, with properties calculated at the PBE level.

Summary:
Crystal system: trigonal
Uncorrected energy in eV per formula unit: -24.45

The structure in extended XYZ format:
```
7
Lattice="5.139 0.000 1.606 2.319 4.587 1.606 -0.108 -0.066 9.373" Properties=species:S:1:pos:R:3 pbc="T T T"
Ca 0.833 0.512 6.362
Bi 5.554 3.415 9.308
Ca 2.668 1.641 9.517
Bi 1.797 1.105 3.276
Au 0.000 0.000 0.000
Ca 6.518 4.008 6.223
Ca 4.683 2.880 3.068
```

Below is CaBi2Au after structural relaxation, with properties calculated at the PBE level.

Summary:
Crystal system: trigonal
Uncorrected energy in eV per formula unit: -12.91

The structure in extended XYZ format:
```
4
Lattice="3.790 0.000 0.000 1.895 3.282 0.000 1.895 1.094 10.363" Properties=species:S:1:pos:R:3 pbc="T T T"
Bi 1.895 1.094 7.154
Au 3.790 2.188 5.181
Bi 5.685 3.282 3.209
Ca 0.000 0.000 0.000
```

Below is CaBi2Au2 after structural relaxation, with properties calculated at the PBE level.

Summary:
Crystal system: tetragonal
Uncorrected energy in eV per formula unit: -17.41

The structure in extended XYZ format:
```
10
Lattice="8.344 0.000 0.000 0.000 8.344 0.000 0.000 0.000 3.807" Properties=species:S:1:pos:R:3 pbc="T T T"
Bi 1.176 2.996 0.000
Ca 4.172 4.172 0.000
Au 5.547 6.970 1.904
Bi 2.996 7.168 0.000
Bi 7.168 5.348 0.000
Au 6.970 2.798 1.904
Bi 5.348 1.176 0.000
Au 1.374 5.547 1.904
Au 2.798 1.374 1.904
Ca 0.000 0.000 0.000
```

Below is CaBi2Au2 after structural relaxation, with properties calculated at the PBE level.

Summary:
Crystal system: tetragonal
Uncorrected energy in eV per formula unit: -18.10

The structure in extended XYZ format:
```
5
Lattice="4.595 0.000 0.000 0.000 4.595 0.000 2.298 2.298 6.636" Properties=species:S:1:pos:R:3 pbc="T T T"
Au 2.298 2.298 1.323
Bi 2.298 4.595 3.318
Au 4.595 4.595 5.312
Ca 0.000 0.000 0.000
Bi 4.595 2.298 3.318
```

Below is CaBi2Au2 after structural relaxation, with properties calculated at the PBE level.

Summary:
Crystal system: tetragonal
Uncorrected energy in eV per formula unit: -18.17

The structure in extended XYZ format:
```
10
Lattice="-1.263 0.933 -7.683 -6.936 -3.590 0.704 -1.846 3.715 0.755" Properties=species:S:1:pos:R:3 pbc="T T T"
Bi -4.164 1.478 -5.686
Ca -4.099 -1.329 -3.490
Au -6.533 -2.789 -2.257
Bi -5.881 -0.421 -0.539
Bi -2.585 1.502 -1.940
Au -2.752 -1.224 -0.706
Au -1.666 0.131 -4.722
Au -5.447 -1.433 -6.273
Ca 0.000 0.000 0.000
Bi -7.460 -0.445 -4.284
```

Below is Ca2BiAu4 after structural relaxation, with properties calculated at the PBE level.

Summary:
Crystal system: tetragonal
Uncorrected energy in eV per formula unit: -21.83

The structure in extended XYZ format:
```
7
Lattice="5.304 0.000 0.000 0.000 5.304 0.000 2.652 2.652 7.883" Properties=species:S:1:pos:R:3 pbc="T T T"
Bi 0.000 0.000 0.000
Au 0.000 2.652 0.000
Au 5.304 5.304 2.943
Au 2.652 0.000 0.000
Ca 2.652 2.652 2.093
Au 2.652 2.652 4.941
Ca 5.304 5.304 5.790
```

Below is Ca2BiAu8 after structural relaxation, with properties calculated at the PBE level.

Summary:
Crystal system: monoclinic
Uncorrected energy in eV per formula unit: -38.72

The structure in extended XYZ format:
```
11
Lattice="5.017 0.914 -1.818 0.809 4.545 -2.503 -0.689 1.398 10.375" Properties=species:S:1:pos:R:3 pbc="T T T"
Au 1.385 1.978 1.398
Au 1.477 3.087 -1.951
Ca 1.539 2.857 5.686
Bi 2.509 0.457 -0.909
Au 3.598 2.480 3.117
Au 5.572 5.578 -1.545
Au 4.350 2.372 -2.370
Au 1.539 4.377 2.938
Ca 3.598 4.000 0.369
Au 3.752 4.879 4.657
Au -0.434 1.279 7.600
```